Entry 1:
A plane-wave DFT calculation with PBEsol was carried out for a relaxed structure of NdH5Se2O8.

Summary:
- Uncorrected energy: -374.43 eV for the cell shown
- Theoretical density: 3.78 g cm⁻³

Unit cell a=6.7607 b=7.0863 c=15.9750 alpha=90.00 beta=90.00 gamma=90.00
Space group P2_12_12_1 (No. 19)
Symmetry-distinct sites (fractional):
Nd1 0.1240 0.1036 0.2131
H1 0.0170 0.4164 0.0969
H2 0.0557 0.2682 0.8916
H3 0.0985 0.2562 0.0304
H4 0.1887 0.0927 0.9149
H5 0.2245 0.1703 0.5508
Se1 0.1450 0.3027 0.4245
Se2 0.1564 0.3981 0.7267
O1 0.0256 0.8953 0.6994
O2 0.0840 0.8949 0.0934
O3 0.0901 0.2060 0.5240
O4 0.0919 0.1827 0.9383
O5 0.0990 0.3002 0.0916
O6 0.1422 0.0970 0.3670
O7 0.1888 0.4240 0.2630
O8 0.1910 0.7807 0.2609

***

Entry 2:
A plane-wave DFT calculation with PBEsol was carried out for a relaxed structure of TmBiPd2.

Summary:
- Theoretical density: 12.60 g cm⁻³
- Energy of formation: -0.755 eV per atom

Unit cell a=6.7776 b=6.7776 c=6.7776 alpha=90.00 beta=90.00 gamma=90.00
Space group Fm-3m (No. 225)
Symmetry-distinct sites (fractional):
Tm1 0.0000 0.0000 0.0000
Bi1 0.0000 0.0000 0.5000
Pd1 0.2500 0.2500 0.2500

***

Entry 3:
A plane-wave DFT calculation with PBEsol was carried out for a relaxed structure of BeReAg2.

Summary:
- Theoretical density: 12.21 g cm⁻³
- Energy of formation: 0.273 eV per atom

Unit cell a=3.3969 b=4.0759 c=8.0722 alpha=90.00 beta=90.00 gamma=90.00
Space group Cmm2 (No. 35)
Symmetry-distinct sites (fractional):
Be1 0.0000 0.0000 0.0000
Re1 0.0000 0.5000 0.7894
Ag1 0.0000 0.0000 0.5068
Ag2 0.0000 0.5000 0.2212

***

Entry 4:
A plane-wave DFT calculation with PBEsol was carried out for a relaxed structure of LiMg.

Summary:
- Theoretical density: 1.24 g cm⁻³
- Energy of formation: -0.020 eV per atom

Unit cell a=3.0912 b=3.0912 c=10.1232 alpha=90.00 beta=90.00 gamma=120.00
Space group P-3m1 (No. 164)
Symmetry-distinct sites (fractional):
Li1 0.3333 0.6667 0.3787
Mg1 0.3333 0.6667 0.8682

***

Entry 5:
A plane-wave DFT calculation with PBEsol was carried out for a relaxed structure of Fe5Re.

Summary:
- Energy above the most stable polymorph in this dataset: 13.6 meV/atom
- Theoretical density: 11.20 g cm⁻³
- Energy of formation: 0.044 eV per atom

Unit cell a=2.8142 b=2.8142 c=8.7124 alpha=90.00 beta=90.00 gamma=90.00
Space group P4/mmm (No. 123)
Symmetry-distinct sites (fractional):
Fe1 0.0000 0.0000 0.0000
Fe2 0.0000 0.0000 0.3187
Fe3 0.5000 0.5000 0.1603
Re1 0.5000 0.5000 0.5000

***

Entry 6:
A plane-wave DFT calculation with PBEsol was carried out for a relaxed structure of NaCuPCl2.

Summary:
- Formation energy from raw total energies: -0.266 eV/atom
- Theoretical density: 2.90 g cm⁻³

Unit cell a=4.9701 b=4.9701 c=4.3740 alpha=90.00 beta=90.00 gamma=90.00
Space group P4/mmm (No. 123)
Symmetry-distinct sites (fractional):
Na1 0.0000 0.0000 0.0000
Cu1 0.5000 0.5000 0.5000
P1 0.5000 0.5000 0.0000
Cl1 0.0000 0.5000 0.5000

***

Entry 7:
A plane-wave DFT calculation with PBEsol was carried out for a relaxed structure of RbAu3Se.

Summary:
- Formation energy from raw total energies: 0.118 eV/atom
- Theoretical density: 9.21 g cm⁻³

Unit cell a=5.1440 b=5.1440 c=5.1440 alpha=90.00 beta=90.00 gamma=90.00
Space group Pm-3m (No. 221)
Symmetry-distinct sites (fractional):
Rb1 0.0000 0.0000 0.0000
Au1 0.0000 0.5000 0.5000
Se1 0.5000 0.5000 0.5000

***

Entry 8:
A plane-wave DFT calculation with PBEsol was carried out for a relaxed structure of BaYGa3.

Summary:
- Theoretical density: 4.53 g cm⁻³
- Energy of formation: 0.073 eV per atom

Unit cell a=5.4227 b=5.4227 c=5.4227 alpha=90.00 beta=90.00 gamma=90.00
Space group Pm-3m (No. 221)
Symmetry-distinct sites (fractional):
Ba1 0.0000 0.0000 0.0000
Y1 0.5000 0.5000 0.5000
Ga1 0.0000 0.5000 0.5000

***

Entry 9:
A plane-wave DFT calculation with PBEsol was carried out for a relaxed structure of Sr2BeW.

Summary:
- Theoretical density: 5.96 g cm⁻³
- Energy of formation: 1.354 eV per atom

Unit cell a=5.2550 b=5.2550 c=3.7151 alpha=90.00 beta=90.00 gamma=90.00
Space group P4/mmm (No. 123)
Symmetry-distinct sites (fractional):
Sr1 0.0000 0.5000 0.0000
Be1 0.0000 0.0000 0.5000
W1 0.5000 0.5000 0.5000

***

Entry 10:
A plane-wave DFT calculation with PBEsol was carried out for a relaxed structure of Al3C.

Summary:
- Energy above the most stable polymorph in this dataset: 0.0 meV/atom
- Theoretical density: 2.89 g cm⁻³
- Energy of formation: 0.014 eV per atom

Unit cell a=3.0522 b=3.0522 c=19.8936 alpha=90.00 beta=90.00 gamma=120.00
Space group R-3m (No. 166, hexagonal axes)
Symmetry-distinct sites (fractional):
Al1 0.0000 0.0000 0.0000
Al2 0.0000 0.0000 0.2192
C1 0.0000 0.0000 0.5000

***

Entry 11:
A plane-wave DFT calculation with PBEsol was carried out for a relaxed structure of HgSb2As.

Summary:
- Energy above the most stable polymorph in this dataset: 101.1 meV/atom
- Formation energy from raw total energies: 0.183 eV/atom
- Theoretical density: 8.89 g cm⁻³

Unit cell a=3.6766 b=3.6766 c=7.1736 alpha=90.00 beta=90.00 gamma=90.00
Space group P4/mmm (No. 123)
Symmetry-distinct sites (fractional):
Hg1 0.0000 0.0000 0.0000
Sb1 0.5000 0.5000 0.2881
As1 0.0000 0.0000 0.5000

***

Entry 12:
A plane-wave DFT calculation with PBEsol was carried out for a relaxed structure of KCeSiS4.

Summary:
- Formation energy from raw total energies: -1.377 eV/atom
- Theoretical density: 3.24 g cm⁻³

Unit cell a=6.4166 b=6.4710 c=8.6740 alpha=90.00 beta=107.51 gamma=90.00
Space group P2_1/m (No. 11)
Symmetry-distinct sites (fractional):
K1 0.2271 0.2500 0.4337
Ce1 0.2704 0.2500 0.9499
Si1 0.2872 0.7500 0.1853
S1 0.0869 0.7500 0.3371
S2 0.1046 0.7500 0.9351
S3 0.4955 0.5055 0.7745

***

Entry 13:
A plane-wave DFT calculation with PBEsol was carried out for a relaxed structure of MgAlTe2.

Summary:
- Formation energy from raw total energies: 0.135 eV/atom
- Theoretical density: 5.15 g cm⁻³

Unit cell a=7.3404 b=7.3404 c=7.3404 alpha=90.00 beta=90.00 gamma=90.00
Space group F-43m (No. 216)
Symmetry-distinct sites (fractional):
Mg1 0.0000 0.0000 0.0000
Al1 0.2500 0.2500 0.2500
Te1 0.0000 0.0000 0.5000
Te2 0.2500 0.2500 0.7500

***

Entry 14:
A plane-wave DFT calculation with PBEsol was carried out for a relaxed structure of ZnSiMo2.

Summary:
- Energy above the most stable polymorph in this dataset: 20.2 meV/atom
- Formation energy from raw total energies: 0.088 eV/atom
- Theoretical density: 8.52 g cm⁻³

Unit cell a=6.0605 b=6.0605 c=6.0605 alpha=90.00 beta=90.00 gamma=90.00
Space group Fm-3m (No. 225)
Symmetry-distinct sites (fractional):
Zn1 0.0000 0.0000 0.0000
Si1 0.0000 0.0000 0.5000
Mo1 0.2500 0.2500 0.2500

***

Entry 15:
A plane-wave DFT calculation with PBEsol was carried out for a relaxed structure of GaTeIN2.

Summary:
- Formation energy from raw total energies: 1.380 eV/atom
- Theoretical density: 5.79 g cm⁻³

Unit cell a=4.1236 b=4.1236 c=5.9380 alpha=90.00 beta=90.00 gamma=90.00
Space group P4/mmm (No. 123)
Symmetry-distinct sites (fractional):
Ga1 0.0000 0.0000 0.0000
Te1 0.5000 0.5000 0.5000
I1 0.0000 0.0000 0.5000
N1 0.0000 0.5000 0.0000

***

Entry 16:
A plane-wave DFT calculation with PBEsol was carried out for a relaxed structure of Li3CuAg.

Summary:
- Theoretical density: 3.49 g cm⁻³
- Energy of formation: 0.316 eV per atom

Unit cell a=4.5064 b=4.5064 c=4.5064 alpha=90.00 beta=90.00 gamma=90.00
Space group Pm-3m (No. 221)
Symmetry-distinct sites (fractional):
Li1 0.0000 0.0000 0.5000
Cu1 0.0000 0.0000 0.0000
Ag1 0.5000 0.5000 0.5000

***

Entry 17:
A plane-wave DFT calculation with PBEsol was carried out for a relaxed structure of InHg2.

Summary:
- Theoretical density: 11.37 g cm⁻³
- Energy of formation: 0.017 eV per atom

Unit cell a=6.6717 b=6.6717 c=6.7695 alpha=90.00 beta=90.00 gamma=90.00
Space group I4/mcm (No. 140)
Symmetry-distinct sites (fractional):
In1 0.0000 0.0000 0.2500
Hg1 0.1540 0.3460 0.0000

***

Entry 18:
A plane-wave DFT calculation with PBEsol was carried out for a relaxed structure of YFeRu2.

Summary:
- Theoretical density: 9.14 g cm⁻³
- Energy of formation: 0.241 eV per atom

Unit cell a=3.0418 b=3.0418 c=6.8111 alpha=90.00 beta=90.00 gamma=90.00
Space group P4mm (No. 99)
Symmetry-distinct sites (fractional):
Y1 0.0000 0.0000 0.0000
Fe1 0.5000 0.5000 0.2995
Ru1 0.0000 0.0000 0.4784
Ru2 0.5000 0.5000 0.7019

***

Entry 19:
A plane-wave DFT calculation with PBEsol was carried out for a relaxed structure of Sr2Bi2O5.

Summary:
- Formation energy from raw total energies: -1.967 eV/atom
- Theoretical density: 6.67 g cm⁻³

Unit cell a=14.2297 b=6.1695 c=7.6322 alpha=90.00 beta=90.00 gamma=90.00
Space group Pnma (No. 62)
Symmetry-distinct sites (fractional):
Sr1 0.0522 0.2500 0.1231
Sr2 0.0651 0.2500 0.6265
Bi1 0.1868 0.7500 0.3853
Bi2 0.1938 0.7500 0.8662
O1 0.0873 0.5069 0.3674
O2 0.0933 0.5081 0.8819
O3 0.2472 0.7500 0.1276

***

Entry 20:
A plane-wave DFT calculation with PBEsol was carried out for a relaxed structure of Li2YMn.

Summary:
- Energy above the most stable polymorph in this dataset: 24.9 meV/atom
- Theoretical density: 3.40 g cm⁻³
- Energy of formation: 0.407 eV per atom

Unit cell a=3.5956 b=4.8763 c=8.7852 alpha=90.00 beta=90.00 gamma=90.00
Space group Imm2 (No. 44)
Symmetry-distinct sites (fractional):
Li1 0.0000 0.0000 0.0000
Li2 0.0000 0.5000 0.2748
Y1 0.0000 0.5000 0.7778
Mn1 0.0000 0.0000 0.5423

***

Entry 21:
A plane-wave DFT calculation with PBEsol was carried out for a relaxed structure of BaLaRh2.

Summary:
- Theoretical density: 9.24 g cm⁻³
- Energy of formation: 0.102 eV per atom

Unit cell a=7.0240 b=7.0240 c=7.0240 alpha=90.00 beta=90.00 gamma=90.00
Space group F-43m (No. 216)
Symmetry-distinct sites (fractional):
Ba1 0.0000 0.0000 0.0000
La1 0.2500 0.2500 0.7500
Rh1 0.0000 0.0000 0.5000
Rh2 0.2500 0.2500 0.2500

***

Entry 22:
A plane-wave DFT calculation with PBEsol was carried out for a relaxed structure of MgHgSe.

Summary:
- Formation energy from raw total energies: -0.588 eV/atom
- Theoretical density: 6.08 g cm⁻³

Unit cell a=3.6744 b=3.6744 c=12.2831 alpha=90.00 beta=90.00 gamma=90.00
Space group I4mm (No. 107)
Symmetry-distinct sites (fractional):
Mg1 0.0000 0.0000 0.0000
Hg1 0.0000 0.0000 0.2226
Se1 0.0000 0.0000 0.4543

***

Entry 23:
A plane-wave DFT calculation with PBEsol was carried out for a relaxed structure of YSc2.

Summary:
- Energy above the most stable polymorph in this dataset: 10.8 meV/atom
- Theoretical density: 3.82 g cm⁻³
- Energy of formation: 0.034 eV per atom

Unit cell a=12.0012 b=3.3824 c=7.8425 alpha=90.00 beta=102.67 gamma=90.00
Space group Cm (No. 8)
Symmetry-distinct sites (fractional):
Y1 0.0000 0.0000 0.0000
Y2 0.1706 0.5000 0.3432
Sc1 0.1172 0.5000 0.7263
Sc2 0.2807 0.0000 0.0592
Sc3 0.3366 0.0000 0.6745
Sc4 0.4450 0.5000 0.4038

***

Entry 24:
A plane-wave DFT calculation with PBEsol was carried out for a relaxed structure of La2MnRh.

Summary:
- Energy above the most stable polymorph in this dataset: 162.0 meV/atom
- Theoretical density: 7.72 g cm⁻³
- Energy of formation: 0.054 eV per atom

Unit cell a=3.3605 b=3.3605 c=8.2990 alpha=90.00 beta=90.00 gamma=90.00
Space group P4mm (No. 99)
Symmetry-distinct sites (fractional):
La1 0.0000 0.0000 0.0000
La2 0.5000 0.5000 0.3895
Mn1 0.0000 0.0000 0.6368
Rh1 0.5000 0.5000 0.7844